Material: RbSrBeGa2
Method: DFT, PBE-GGA
State: optimized geometry

Calculated values
Formation energy (eV/atom): 1.47

Lattice parameters (Å, degrees): 5.778 5.778 6.674 90.00 90.00 90.00
Space group P4/mmm (No. 123)
Asymmetric unit:
Rb 0.000 0.000 0.000 [1 per cell]
Sr 0.000 0.000 0.500 [1 per cell]
Be 0.500 0.500 0.500 [1 per cell]
Ga 0.000 0.500 0.000 [2 per cell]

=====

Material: Sc2FeNi9
Method: DFT, PBE-GGA
State: optimized geometry

Calculated values
Formation energy (eV/atom): -0.29

Lattice parameters (Å, degrees): 3.661 3.661 10.939 90.00 90.00 90.00
Space group P4/mmm (No. 123)
Asymmetric unit:
Sc 0.000 0.000 0.170 [2 per cell]
Fe 0.000 0.000 0.500 [1 per cell]
Ni 0.000 0.500 0.000 [2 per cell]
Ni 0.000 0.500 0.347 [4 per cell]
Ni 0.500 0.500 0.172 [2 per cell]
Ni 0.500 0.500 0.500 [1 per cell]

=====

Material: RbPm2Y
Method: DFT, PBE-GGA
State: optimized geometry

Calculated values
Formation energy (eV/atom): 0.25

Lattice parameters (Å, degrees): 3.6858 3.6858 40.4650 90.00 90.00 120.00
Space group R-3m (No. 166, hexagonal axes)
Asymmetric unit:
Rb 0.0000 0.0000 0.0000 [3 per cell]
Pm 0.0000 0.0000 0.0961 [6 per cell]
Y 0.0000 0.0000 0.5000 [3 per cell]

=====

Material: NdHo2Mg
Method: DFT, PBE-GGA
State: optimized geometry

Calculated values
Formation energy (eV/atom): 0.09

Lattice parameters (Å, degrees): 7.831 7.831 7.831 90.00 90.00 90.00
Space group Fm-3m (No. 225)
Asymmetric unit:
Nd 0.000 0.000 0.000 [4 per cell]
Ho 0.250 0.250 0.250 [8 per cell]
Mg 0.000 0.000 0.500 [4 per cell]

=====

Material: Ca2ScPdN
Method: DFT, PBE-GGA
State: optimized geometry

Calculated values
ΔE_f (raw) (kJ/mol of formula units): -386

Lattice parameters (Å, degrees): 4.886 4.886 4.278 90.00 90.00 90.00
Space group P4/mmm (No. 123)
Asymmetric unit:
Ca 0.000 0.500 0.000 [2 per cell]
Sc 0.000 0.000 0.500 [1 per cell]
Pd 0.500 0.500 0.500 [1 per cell]
N 0.000 0.000 0.000 [1 per cell]

=====

Material: VZnSiI2
Method: DFT, PBE-GGA
State: optimized geometry

Calculated values
ΔE_f (raw) (kJ/mol of formula units): 248

Lattice parameters (Å, degrees): 5.427 5.427 4.783 90.00 90.00 90.00
Space group P4/mmm (No. 123)
Asymmetric unit:
V 0.000 0.000 0.000 [1 per cell]
Zn 0.500 0.500 0.500 [1 per cell]
Si 0.000 0.000 0.500 [1 per cell]
I 0.000 0.500 0.000 [2 per cell]

=====

Material: KIrW
Method: DFT, PBE-GGA
State: optimized geometry

Calculated values
Formation energy (eV/atom): 0.76

Lattice parameters (Å, degrees): 2.8632 2.8632 8.2121 90.00 90.00 120.00
Space group P3m1 (No. 156)
Asymmetric unit:
K 0.0000 0.0000 0.0000 [1 per cell]
Ir 0.3333 0.6667 0.6436 [1 per cell]
W 0.6667 0.3333 0.3899 [1 per cell]

=====

Material: PmNdIrPb
Method: DFT, PBE-GGA
State: optimized geometry

Calculated values
Formation energy (eV/atom): -0.39

Lattice parameters (Å, degrees): 7.476 7.476 7.476 90.00 90.00 90.00
Space group F-43m (No. 216)
Asymmetric unit:
Pm 0.000 0.000 0.000 [4 per cell]
Nd 0.000 0.000 0.500 [4 per cell]
Ir 0.250 0.250 0.750 [4 per cell]
Pb 0.250 0.250 0.250 [4 per cell]

=====

Material: Cs2Dy2HfSe6
Method: DFT, PBE-GGA
State: optimized geometry

Calculated values
ΔE_f (raw) (kJ/mol of formula units): -1753

Lattice parameters (Å, degrees): 7.101 12.229 8.920 90.00 106.03 90.00
Space group C2/m (No. 12)
Asymmetric unit:
Cs 0.000 0.170 0.000 [4 per cell]
Dy 0.000 0.333 0.500 [4 per cell]
Hf 0.000 0.000 0.500 [2 per cell]
Se 0.222 0.157 0.681 [8 per cell]
Se 0.247 0.500 0.680 [4 per cell]

=====

Material: LiPrThRe
Method: DFT, PBE-GGA
State: optimized geometry

Calculated values
Formation energy (eV/atom): 0.12

Lattice parameters (Å, degrees): 7.219 7.219 7.219 90.00 90.00 90.00
Space group F-43m (No. 216)
Asymmetric unit:
Li 0.000 0.000 0.000 [4 per cell]
Pr 0.250 0.250 0.750 [4 per cell]
Th 0.250 0.250 0.250 [4 per cell]
Re 0.000 0.000 0.500 [4 per cell]

=====

Material: UBPd
Method: DFT, PBE-GGA
State: optimized geometry

Calculated values
Formation energy (eV/atom): -0.06

Lattice parameters (Å, degrees): 4.898 8.022 8.784 90.00 90.00 90.00
Space group Fmmm (No. 69)
Asymmetric unit:
U 0.000 0.165 0.000 [8 per cell]
B 0.250 0.250 0.250 [8 per cell]
Pd 0.000 0.000 0.334 [8 per cell]

=====

Material: InRu2Br
Method: DFT, PBE-GGA
State: optimized geometry

Calculated values
ΔE_f (raw) (kJ/mol of formula units): 354

Lattice parameters (Å, degrees): 6.655 6.655 6.655 90.00 90.00 90.00
Space group F-43m (No. 216)
Asymmetric unit:
In 0.000 0.000 0.000 [4 per cell]
Ru 0.000 0.000 0.500 [4 per cell]
Ru 0.250 0.250 0.750 [4 per cell]
Br 0.250 0.250 0.250 [4 per cell]

=====

Material: PmThMnN4
Method: DFT, PBE-GGA
State: optimized geometry

Calculated values
ΔE_f (raw) (kJ/mol of formula units): -680

Lattice parameters (Å, degrees): 3.710 3.710 12.747 90.00 90.00 90.00
Space group I4mm (No. 107)
Asymmetric unit:
Pm 0.000 0.000 0.000 [2 per cell]
Th 0.000 0.000 0.289 [2 per cell]
Mn 0.000 0.000 0.644 [2 per cell]
N 0.000 0.000 0.471 [2 per cell]
N 0.000 0.000 0.812 [2 per cell]
N 0.000 0.500 0.146 [4 per cell]

=====

Material: YTcBi2O8
Method: DFT, PBE-GGA
State: optimized geometry

Calculated values
ΔE_f (raw) (kJ/mol of formula units): -1923

Lattice parameters (Å, degrees): 5.187 6.732 5.189 90.00 90.86 90.00
Space group P2/m (No. 10)
Asymmetric unit:
Y 0.000 0.000 0.000 [1 per cell]
Tc 0.000 0.500 0.000 [1 per cell]
Bi 0.500 0.252 0.500 [2 per cell]
O 0.179 0.283 0.182 [4 per cell]
O 0.252 0.500 0.752 [2 per cell]
O 0.309 0.000 0.693 [2 per cell]

=====

Material: NaSmSc4Se8
Method: DFT, PBE-GGA
State: optimized geometry

Calculated values
ΔE_f (raw) (kJ/mol of formula units): -2188

Lattice parameters (Å, degrees): 8.0548 8.0548 20.5036 90.00 90.00 120.00
Space group R3m (No. 160, hexagonal axes)
Asymmetric unit:
Na 0.0000 0.0000 0.0000 [3 per cell]
Sm 0.0000 0.0000 0.6352 [3 per cell]
Sc 0.0000 0.0000 0.2592 [3 per cell]
Sc 0.1741 0.3482 0.4626 [9 per cell]
Se 0.0000 0.0000 0.3898 [3 per cell]
Se 0.0000 0.0000 0.8676 [3 per cell]
Se 0.0190 0.5095 0.3918 [9 per cell]
Se 0.1707 0.3414 0.2083 [9 per cell]

=====

Material: ErTmRu
Method: DFT, PBE-GGA
State: optimized geometry

Calculated values
Formation energy (eV/atom): -0.40

Lattice parameters (Å, degrees): 3.371 3.371 12.721 90.00 90.00 90.00
Space group I4mm (No. 107)
Asymmetric unit:
Er 0.000 0.000 0.000 [2 per cell]
Tm 0.000 0.000 0.255 [2 per cell]
Ru 0.000 0.000 0.629 [2 per cell]

=====

Material: CoHgPd2C
Method: DFT, PBE-GGA
State: optimized geometry

Calculated values
Formation energy (eV/atom): 0.18

Lattice parameters (Å, degrees): 4.300 4.300 3.734 90.00 90.00 90.00
Space group P4/mmm (No. 123)
Asymmetric unit:
Co 0.000 0.000 0.000 [1 per cell]
Hg 0.500 0.500 0.000 [1 per cell]
Pd 0.000 0.500 0.500 [2 per cell]
C 0.000 0.000 0.500 [1 per cell]

=====

Material: Ba2CdMo
Method: DFT, PBE-GGA
State: optimized geometry

Calculated values
Formation energy (eV/atom): 0.62

Lattice parameters (Å, degrees): 13.149 3.910 5.788 90.00 113.95 90.00
Space group Cm (No. 8)
Asymmetric unit:
Ba 0.000 0.000 0.000 [2 per cell]
Ba 0.201 0.000 0.687 [2 per cell]
Cd 0.425 0.000 0.427 [2 per cell]
Mo 0.254 0.500 0.235 [2 per cell]

=====

Material: AcPa2BeN5
Method: DFT, PBE-GGA
State: optimized geometry

Calculated values
ΔE_f (raw) (kJ/mol of formula units): -1054

Lattice parameters (Å, degrees): 3.353 18.014 8.430 90.00 90.00 90.00
Space group Cmc2_1 (No. 36)
Asymmetric unit:
Ac 0.000 0.239 0.000 [4 per cell]
Pa 0.000 0.090 0.284 [4 per cell]
Pa 0.000 0.092 0.714 [4 per cell]
Be 0.000 0.492 0.497 [4 per cell]
N 0.000 0.025 0.055 [4 per cell]
N 0.000 0.329 0.313 [4 per cell]
N 0.000 0.333 0.698 [4 per cell]
N 0.000 0.394 0.009 [4 per cell]
N 0.000 0.491 0.296 [4 per cell]

=====

Material: Li2Pa2Ir3
Method: DFT, PBE-GGA
State: optimized geometry

Calculated values
Formation energy (eV/atom): -0.51

Lattice parameters (Å, degrees): 8.804 4.394 7.550 90.00 108.40 90.00
Space group C2/m (No. 12)
Asymmetric unit:
Li 0.144 0.000 0.414 [4 per cell]
Pa 0.116 0.500 0.828 [4 per cell]
Ir 0.000 0.000 0.000 [2 per cell]
Ir 0.214 0.500 0.222 [4 per cell]